[1]
First-principles (PBE-GGA) data for an optimized crystal structure of Li2InGa2, as listed in the Alexandria database.

VASP energy, eV per cell: -26.434
ΔH_f (0 K), eV per atom: -0.12
Total magnetization, Bohr magnetons per cell: 0.0
E above lowest polymorph, meV per atom: 88.4
Mass density, Mg/m³: 4.6

The structure in extended XYZ format:
```
10
Lattice="3.767 0.000 0.000 0.000 3.767 0.000 0.000 0.000 13.583" Properties=species:S:1:pos:R:3 pbc="T T T"
Li 0.000 0.000 1.359
Li 0.000 0.000 12.225
Li 1.883 1.883 5.433
Li 1.883 1.883 8.150
In 0.000 0.000 6.792
In 1.883 1.883 0.000
Ga 0.000 1.883 3.396
Ga 0.000 1.883 10.188
Ga 1.883 0.000 3.396
Ga 1.883 0.000 10.188
```

[2]
First-principles (PBE-GGA) data for an optimized crystal structure of MgHg2Te, as listed in the Alexandria database.

VASP energy, eV per cell: -12.553
Total magnetization, Bohr magnetons per cell: 0.0
E above lowest polymorph, meV per atom: 46.4
Raw formation energy, meV/atom: -234
Mass density, Mg/m³: 8.0

The structure in extended XYZ format:
```
8
Lattice="5.836 0.000 0.000 0.000 5.964 0.000 0.000 0.000 6.613" Properties=species:S:1:pos:R:3 pbc="T T T"
Mg 0.000 0.000 0.000
Mg 2.918 2.982 0.000
Hg 0.000 1.496 3.307
Hg 0.000 4.468 3.307
Hg 2.918 1.486 3.307
Hg 2.918 4.478 3.307
Te 0.000 2.982 0.000
Te 2.918 0.000 0.000
```

[3]
First-principles (PBE-GGA) data for an optimized crystal structure of Dy4Tl, as listed in the Alexandria database.

VASP energy, eV per cell: -42.550
ΔH_f (0 K), eV per atom: -0.10
Total magnetization, Bohr magnetons per cell: 0.0
E above lowest polymorph, meV per atom: 0.0
Mass density, Mg/m³: 9.5

The structure in extended XYZ format:
```
10
Lattice="8.069 -2.715 0.000 8.069 2.715 0.000 -1.446 0.000 6.825" Properties=species:S:1:pos:R:3 pbc="T T T"
Dy 0.000 0.000 0.000
Dy -0.723 0.000 3.412
Dy 2.013 0.000 5.837
Dy 3.008 0.000 2.490
Dy 5.458 0.000 4.915
Dy 9.234 0.000 1.910
Dy 11.683 0.000 4.335
Dy 12.679 0.000 0.988
Tl 6.197 0.000 1.433
Tl 8.495 0.000 5.391
```